The following is a PBE calculation of a relaxed MgTa2Ni crystal, from Alexandria.

- total magnetization (μB per atom) = 0.000
- density of states at the Fermi level (states/eV/atom) = 0.934
- energy of formation from the pure elements (eV/atom) = 0.20

abc: 2.7623 4.6756 5.2350
angles: 90.00 101.96 90.00
Space group P2/m (No. 10)
Unique sites:
Mg1 0.0000 0.0000 0.0000 x1
Ta1 0.2638 0.5000 0.7413 x2
Ni1 0.5000 0.0000 0.5000 x1